Below is a relaxed Li2AcLaTl4 crystal, with properties calculated at the PBE level.

a b c (Å): 9.4471 9.4471 9.4471
angles (deg): 33.41 33.41 33.41
With the nearest neighbours (Å) after each atom.
Fractional positions:
Li1 0.2487 0.2487 0.2487  8 Tl 3.25-3.45
Li2 0.7513 0.7513 0.7513  8 Tl 3.25-3.45
Ac1 0.0000 0.0000 0.0000  8 Tl 3.35-3.40
La1 0.5000 0.5000 0.5000  8 Tl 3.27-3.31
Tl1 0.1271 0.1271 0.1271  4 Li 3.25-3.33, 3 La 3.31, 1 Ac 3.40
Tl2 0.3778 0.3778 0.3778  1 La 3.27, 4 Li 3.31-3.45, 3 Ac 3.35
Tl3 0.6222 0.6222 0.6222  1 La 3.27, 4 Li 3.31-3.45, 3 Ac 3.35
Tl4 0.8729 0.8729 0.8729  4 Li 3.25-3.33, 3 La 3.31, 1 Ac 3.40

Results
Formation energy from the elements ... -0.335 eV/atom
Total magnetization ... 0.0000 μB/atom
DOS at the Fermi energy ... 2.8 states/eV/f.u.